VASP calculation (GGA-PBE) on a relaxed structure of Ca2LaMg2. Values from VASP.

Polymorph energy (0 for the lowest one) ... 0.1796 eV per atom
ρ ... 2.51 g/cm³
Electronic total energy ... -2.281 eV/atom
Formation energy from the elements ... 0.143 eV per atom

Geometry as Quantum ESPRESSO input:
```
&SYSTEM
  ibrav = 0, nat = 10, ntyp = 3
/
ATOMIC_SPECIES
Ca 40.08 Ca.upf
La 138.91 La.upf
Mg 24.30 Mg.upf
CELL_PARAMETERS angstrom
4.869 0.000 0.000
0.000 4.869 0.000
0.000 0.000 14.946
ATOMIC_POSITIONS angstrom
Ca 0.000 2.435 3.736
Ca 0.000 2.435 11.209
Ca 2.435 0.000 3.736
Ca 2.435 0.000 11.209
La 0.000 0.000 0.000
La 2.435 2.435 7.473
Mg 0.000 0.000 6.056
Mg 0.000 0.000 8.889
Mg 2.435 2.435 1.417
Mg 2.435 2.435 13.529
```